(1)
## La3Rh4Pb13 (meta-GGA SCAN)

Data for a PBEsol-optimized structure of La3Rh4Pb13.

Lattice parameters (Å, degrees): 9.9873 9.9873 9.9873 90.00 90.00 90.00
With the nearest neighbours (Å) after each atom.
Space group Pm-3n (No. 223)
Unique sites:
La (0.0000, 0.2500, 0.5000) [6 per cell]  12 Pb 3.50-3.51, 4 Rh 3.53
Rh (0.2500, 0.2500, 0.2500) [8 per cell]  6 Pb 2.73
Pb (0.0000, 0.0000, 0.0000) [2 per cell]  12 Pb 3.43
Pb (0.0000, 0.3071, 0.1546) [24 per cell]  2 Rh 2.73

Summary:
DFT total energy in eV per atom: -62.95
Formation energy in eV/atom: -0.47

***

(2)
## Li3Ti3CrO8 (meta-GGA SCAN)

Data for a PBEsol-optimized structure of Li3Ti3CrO8.

Lattice parameters (Å, degrees): 5.7692 5.7692 14.6868 90.00 90.00 120.00
With the nearest neighbours (Å) after each atom.
Space group R-3m (No. 166, hexagonal axes)
Unique sites:
Li (0.0000, 0.5000, 0.0000) [9 per cell]  6 O 2.10-2.13
Ti (0.0000, 0.5000, 0.5000) [9 per cell]  6 O 2.01-2.03
Cr (0.0000, 0.0000, 0.5000) [3 per cell]  6 O 1.97
O (0.0000, 0.0000, 0.2462) [6 per cell]  3 Ti 2.03, 3 Li 2.10
O (0.0066, 0.5033, 0.2415) [18 per cell]  1 Cr 1.97, 2 Ti 2.01, 2 Li 2.13

Summary:
DFT total energy in eV per atom: -11.08
Uncorrected formation energy in eV per atom: -2.8465

***

(3)
## Cs2MnPd (meta-GGA SCAN)

Data for a PBEsol-optimized structure of Cs2MnPd.

Lattice parameters (Å, degrees): 8.2661 8.2661 8.2661 90.00 90.00 90.00
With the nearest neighbours (Å) after each atom.
Space group Fm-3m (No. 225)
Unique sites:
Cs (0.2500, 0.2500, 0.2500) [8 per cell]  4 Pd 3.58, 4 Mn 3.58
Mn (0.0000, 0.0000, 0.0000) [4 per cell]  8 Cs 3.58
Pd (0.0000, 0.0000, 0.5000) [4 per cell]  8 Cs 3.58

Summary:
DFT total energy in eV per atom: -30.99
Formation energy in eV/atom: 0.67

***

(4)
## KY2AlC (meta-GGA SCAN)

Data for a PBEsol-optimized structure of KY2AlC.

Lattice parameters (Å, degrees): 4.8185 4.8185 5.4954 90.00 90.00 90.00
With the nearest neighbours (Å) after each atom.
Space group P4/mmm (No. 123)
Unique sites:
K (0.0000, 0.0000, 0.0000) [1 per cell]  2 C 2.75
Y (0.0000, 0.5000, 0.5000) [2 per cell]  2 C 2.41
Al (0.5000, 0.5000, 0.0000) [1 per cell]  4 K 3.41, 8 Y 3.65
C (0.0000, 0.0000, 0.5000) [1 per cell]  4 Y 2.41

Summary:
DFT total energy in eV per atom: -16.11
Formation energy in eV/atom: 0.26